VASP calculation (PBE with a Hubbard U) on crystalline LiVF5 at its relaxed geometry.

Cell lengths 5.2269, 7.4065, 10.1781 Å; angles 90.00, 90.00, 90.00 degrees
Last column: magnetic moment on the atom in μB.
Fractional coordinates of all 28 atoms:
Li: 0.7710 0.1469 0.0085  0.00
Li: 0.2710 0.3531 0.5085  0.00
Li: 0.7290 0.6469 0.0085  0.00
Li: 0.2290 0.8531 0.5085  0.00
V: 0.2764 0.1277 0.2452  1.00
V: 0.7764 0.3723 0.7452  1.00
V: 0.2236 0.6277 0.2452  1.00
V: 0.7236 0.8723 0.7452  1.00
F: 0.9743 0.0768 0.1640  -0.03
F: 0.1598 0.0897 0.4208  0.01
F: 0.6199 0.1211 0.7463  0.00
F: 0.4373 0.1540 0.0829  0.02
F: 0.5453 0.2306 0.3264  -0.03
F: 0.9373 0.3460 0.5829  0.02
F: 0.0453 0.2694 0.8264  -0.03
F: 0.1199 0.3789 0.2463  0.00
F: 0.4743 0.4232 0.6640  -0.03
F: 0.6598 0.4103 0.9208  0.01
F: 0.5257 0.5768 0.1640  -0.03
F: 0.3402 0.5897 0.4208  0.01
F: 0.8801 0.6211 0.7463  0.00
F: 0.0627 0.6540 0.0829  0.02
F: 0.9547 0.7306 0.3264  -0.03
F: 0.5627 0.8460 0.5829  0.02
F: 0.4547 0.7694 0.8264  -0.03
F: 0.3801 0.8789 0.2463  0.00
F: 0.0257 0.9232 0.6640  -0.03
F: 0.8402 0.9103 0.9208  0.01

Computed properties:
The calculation puts the density of states at the Fermi level at 0.00 states/eV per cell. As for the space-group type: Pna2_1. The value obtained for the volume is 14.07 A^3/atom. The energy relative to the lowest polymorph listed for this composition is 51 meV per atom.


VASP calculation (PBE with a Hubbard U) on crystalline Li2V2F7 at its relaxed geometry.

Cell lengths 6.9740, 5.5435, 8.0217 Å; angles 83.77, 117.56, 100.16 degrees
Last column: magnetic moment on the atom in μB.
Fractional coordinates of all 22 atoms:
Li: 0.9234 0.3209 0.7554  0.00
Li: 0.3127 0.7474 0.9995  0.00
Li: 0.6873 0.2526 0.0005  0.00
Li: 0.0766 0.6791 0.2446  0.00
V: 0.2529 0.1428 0.5619  -2.75
V: 0.3691 0.2589 0.2156  -1.93
V: 0.6309 0.7411 0.7844  -1.93
V: 0.7471 0.8572 0.4381  -2.75
F: 0.1498 0.3488 0.2949  0.00
F: 0.2148 0.9288 0.1325  0.00
F: 0.0238 0.8501 0.4006  -0.01
F: 0.3895 0.8798 0.8044  0.00
F: 0.1986 0.4032 0.9674  0.00
F: 0.4619 0.4026 0.7648  -0.01
F: 0.5230 0.2265 0.4869  0.01
F: 0.4770 0.7735 0.5131  0.01
F: 0.5381 0.5974 0.2352  -0.01
F: 0.8014 0.5968 0.0326  0.00
F: 0.6105 0.1202 0.1956  0.00
F: 0.9762 0.1499 0.5994  -0.01
F: 0.7852 0.0712 0.8675  0.00
F: 0.8502 0.6512 0.7051  0.00

Computed properties:
As for the space-group type: P-1. The value obtained for the volume is 12.30 A^3/atom. The energy relative to the lowest polymorph listed for this composition is 18 meV per atom.


VASP calculation (PBE with a Hubbard U) on crystalline LiVF5 at its relaxed geometry.

Cell lengths 9.2367, 4.9937, 9.0539 Å; angles 71.92, 90.00, 90.00 degrees
Last column: magnetic moment on the atom in μB.
Fractional coordinates of all 28 atoms:
Li: 0.6966 0.0268 0.7770  0.00
Li: 0.1966 0.9732 0.7230  0.00
Li: 0.8034 0.0268 0.2770  0.00
Li: 0.3034 0.9732 0.2230  0.00
V: 0.0929 0.5038 0.3495  0.99
V: 0.5929 0.4962 0.1505  0.99
V: 0.4071 0.5038 0.8495  0.99
V: 0.9071 0.4962 0.6505  0.99
F: 0.7187 0.7471 0.1954  0.01
F: 0.7673 0.3311 0.5684  -0.03
F: 0.8819 0.2033 0.8310  0.01
F: 0.0587 0.2665 0.5758  0.00
F: 0.4419 0.6790 0.2051  -0.02
F: 0.9419 0.3210 0.2949  -0.02
F: 0.5587 0.7335 0.9242  0.00
F: 0.2187 0.2529 0.3046  0.01
F: 0.7327 0.3311 0.0684  -0.03
F: 0.3819 0.7967 0.6690  0.01
F: 0.6181 0.2033 0.3310  0.01
F: 0.2673 0.6689 0.9316  -0.03
F: 0.7813 0.7471 0.6954  0.01
F: 0.4413 0.2665 0.0758  0.00
F: 0.0581 0.6790 0.7051  -0.02
F: 0.5581 0.3210 0.7949  -0.02
F: 0.9413 0.7335 0.4242  0.00
F: 0.1181 0.7967 0.1690  0.01
F: 0.2327 0.6689 0.4316  -0.03
F: 0.2813 0.2529 0.8046  0.01

Computed properties:
The calculation puts the density of states at the Fermi level at 0.00 states/eV per cell. As for the space-group type: P2_1/c. The value obtained for the volume is 14.18 A^3/atom. The energy relative to the lowest polymorph listed for this composition is 45 meV per atom.


VASP calculation (PBE with a Hubbard U) on crystalline Li2VF7 at its relaxed geometry.

Cell lengths 6.9128, 6.9940, 10.3682 Å; angles 90.00, 90.00, 90.00 degrees
Fractional coordinates of all 40 atoms:
Li: 0.1504 0.2500 0.7718
Li: 0.1759 0.7500 0.0061
Li: 0.3241 0.2500 0.5061
Li: 0.3496 0.7500 0.2718
Li: 0.6504 0.2500 0.7282
Li: 0.6759 0.7500 0.4939
Li: 0.8241 0.2500 0.9939
Li: 0.8496 0.7500 0.2282
V: 0.2037 0.7500 0.5656
V: 0.2963 0.2500 0.0656
V: 0.7037 0.7500 0.9344
V: 0.7963 0.2500 0.4344
F: 0.0408 0.2500 0.5011
F: 0.0436 0.2500 0.1153
F: 0.1127 0.7500 0.1784
F: 0.1426 0.5663 0.6773
F: 0.1426 0.9337 0.6773
F: 0.2292 0.0683 0.9443
F: 0.2292 0.4317 0.9443
F: 0.2708 0.5683 0.4443
F: 0.2708 0.9317 0.4443
F: 0.3574 0.0663 0.1773
F: 0.3574 0.4337 0.1773
F: 0.3873 0.2500 0.6784
F: 0.4564 0.7500 0.6153
F: 0.4592 0.7500 0.0011
F: 0.5408 0.2500 0.9989
F: 0.5436 0.2500 0.3847
F: 0.6127 0.7500 0.3216
F: 0.6426 0.9337 0.8227
F: 0.6426 0.5663 0.8227
F: 0.7292 0.0683 0.5557
F: 0.7292 0.4317 0.5557
F: 0.7708 0.9317 0.0557
F: 0.7708 0.5683 0.0557
F: 0.8574 0.0663 0.3227
F: 0.8574 0.4337 0.3227
F: 0.8873 0.2500 0.8216
F: 0.9564 0.7500 0.8847
F: 0.9592 0.7500 0.4989

Computed properties:
As for the space-group type: Pnma. The value obtained for the volume is 12.53 A^3/atom. The energy relative to the lowest polymorph listed for this composition is 0 meV per atom.


VASP calculation (PBE with a Hubbard U) on crystalline Li2VF4 at its relaxed geometry.

Cell lengths 3.3012, 5.0728, 5.6967 Å; angles 104.81, 106.84, 90.00 degrees
Last column: magnetic moment on the atom in μB.
Fractional coordinates of all 7 atoms:
Li: 0.3396 0.4457 0.6793  0.00
Li: 0.6604 0.5543 0.3207  0.00
V: 0.0000 0.0000 0.0000  2.76
F: 0.1538 0.3588 0.3075  0.00
F: 0.8462 0.6412 0.6925  0.00
F: 0.4261 0.1761 0.8521  0.01
F: 0.5739 0.8239 0.1479  0.01

Computed properties:
The calculation puts the density of states at the Fermi level at 0.00 states/eV per cell. As for the space-group type: C2/m. The value obtained for the volume is 12.57 A^3/atom. The energy relative to the lowest polymorph listed for this composition is 0 meV per atom.


VASP calculation (PBE with a Hubbard U) on crystalline LiVF5 at its relaxed geometry.

Cell lengths 10.2670, 5.3010, 6.4053 Å; angles 74.64, 90.00, 90.00 degrees
Last column: magnetic moment on the atom in μB.
Fractional coordinates of all 28 atoms:
Li: 0.2648 0.0303 0.1171  0.00
Li: 0.2352 0.0303 0.6171  0.00
Li: 0.7648 0.9697 0.3829  0.00
Li: 0.7352 0.9697 0.8829  0.00
V: 0.0388 0.4422 0.2609  1.00
V: 0.5388 0.5578 0.2391  1.00
V: 0.4612 0.4422 0.7609  1.00
V: 0.9612 0.5578 0.7391  1.00
F: 0.9195 0.1705 0.3140  0.01
F: 0.1803 0.2105 0.3149  -0.03
F: 0.6476 0.2663 0.3065  0.02
F: 0.4181 0.3729 0.0888  -0.02
F: 0.5805 0.1705 0.8140  0.01
F: 0.3197 0.2105 0.8149  -0.03
F: 0.8524 0.2663 0.8065  0.02
F: 0.4206 0.3634 0.4688  -0.02
F: 0.9206 0.6366 0.0312  -0.02
F: 0.0819 0.3729 0.5888  -0.02
F: 0.9181 0.6271 0.4112  -0.02
F: 0.0794 0.3634 0.9688  -0.02
F: 0.5794 0.6366 0.5312  -0.02
F: 0.1476 0.7337 0.1935  0.02
F: 0.6803 0.7895 0.1851  -0.03
F: 0.4195 0.8295 0.1860  0.01
F: 0.5819 0.6271 0.9112  -0.02
F: 0.3524 0.7337 0.6935  0.02
F: 0.8197 0.7895 0.6851  -0.03
F: 0.0805 0.8295 0.6860  0.01

Computed properties:
The calculation puts the density of states at the Fermi level at 0.00 states/eV per cell. As for the space-group type: P2_1/c. The value obtained for the volume is 12.01 A^3/atom. The energy relative to the lowest polymorph listed for this composition is 63 meV per atom.


VASP calculation (PBE with a Hubbard U) on crystalline Li4VF7 at its relaxed geometry.

Cell lengths 7.6669, 7.6669, 5.5088 Å; angles 79.57, 79.57, 69.24 degrees
Last column: magnetic moment on the atom in μB.
Fractional coordinates of all 24 atoms:
Li: 0.7383 0.9433 0.3444  0.00
Li: 0.9433 0.7383 0.8444  0.00
Li: 0.5713 0.6906 0.7720  0.00
Li: 0.6906 0.5713 0.2720  0.00
Li: 0.3094 0.4287 0.7280  0.00
Li: 0.4287 0.3094 0.2280  0.00
Li: 0.0567 0.2617 0.1556  0.00
Li: 0.2617 0.0567 0.6556  0.00
V: 0.2260 0.7740 0.2500  1.91
V: 0.7740 0.2260 0.7500  1.91
F: 0.8080 0.9896 0.6497  -0.01
F: 0.9896 0.8080 0.1497  -0.01
F: 0.3329 0.8519 0.9060  0.01
F: 0.6051 0.7812 0.4385  0.00
F: 0.7812 0.6051 0.9385  0.00
F: 0.1481 0.6671 0.5940  0.01
F: 0.4447 0.5553 0.2500  -0.01
F: 0.5553 0.4447 0.7500  -0.01
F: 0.8519 0.3329 0.4060  0.01
F: 0.2188 0.3949 0.0615  0.00
F: 0.3949 0.2188 0.5615  0.00
F: 0.6671 0.1481 0.0940  0.01
F: 0.0104 0.1920 0.8503  -0.01
F: 0.1920 0.0104 0.3503  -0.01

Computed properties:
The calculation puts the density of states at the Fermi level at 0.00 states/eV per cell. As for the space-group type: C2/c. The value obtained for the volume is 12.31 A^3/atom. The energy relative to the lowest polymorph listed for this composition is 0 meV per atom.


VASP calculation (PBE with a Hubbard U) on crystalline LiV2F7 at its relaxed geometry.

Cell lengths 7.7094, 7.7094, 5.2535 Å; angles 75.02, 75.02, 57.57 degrees
Last column: magnetic moment on the atom in μB.
Fractional coordinates of all 20 atoms:
Li: 0.5146 0.4854 0.2500  0.00
Li: 0.4854 0.5146 0.7500  0.00
V: 0.6557 0.0134 0.7384  1.91
V: 0.0134 0.6557 0.2384  1.91
V: 0.3443 0.9866 0.2616  1.91
V: 0.9866 0.3443 0.7616  1.91
F: 0.6179 0.2802 0.5481  0.00
F: 0.2802 0.6179 0.0481  0.00
F: 0.9106 0.8572 0.4796  0.00
F: 0.8572 0.9106 0.9796  0.00
F: 0.4267 0.1865 0.0091  0.00
F: 0.1865 0.4267 0.5091  0.00
F: 0.5000 0.0000 0.5000  0.01
F: 0.0000 0.5000 0.0000  0.01
F: 0.8135 0.5733 0.4909  0.00
F: 0.5733 0.8135 0.9909  0.00
F: 0.0894 0.1428 0.5204  0.00
F: 0.1428 0.0894 0.0204  0.00
F: 0.3821 0.7198 0.4519  0.00
F: 0.7198 0.3821 0.9519  0.00

Computed properties:
The calculation puts the density of states at the Fermi level at 0.00 states/eV per cell. As for the space-group type: C2/c. The value obtained for the volume is 12.59 A^3/atom. The energy relative to the lowest polymorph listed for this composition is 57 meV per atom.


VASP calculation (PBE with a Hubbard U) on crystalline LiVF5 at its relaxed geometry.

Cell lengths 10.3487, 5.7803, 6.7807 Å; angles 88.62, 90.00, 90.00 degrees
Last column: magnetic moment on the atom in μB.
Fractional coordinates of all 28 atoms:
Li: 0.6950 0.0479 0.8856  0.00
Li: 0.4175 0.5395 0.2382  0.00
Li: 0.9175 0.4605 0.7618  0.00
Li: 0.1950 0.9521 0.1144  0.00
V: 0.5742 0.0345 0.3705  0.99
V: 0.2513 0.4572 0.8496  1.01
V: 0.7513 0.5428 0.1504  1.01
V: 0.0742 0.9655 0.6295  0.99
F: 0.6154 0.0299 0.6314  -0.03
F: 0.5706 0.0378 0.1006  -0.02
F: 0.2059 0.2211 0.6553  0.01
F: 0.4509 0.2632 0.3861  0.01
F: 0.9475 0.1908 0.6125  0.01
F: 0.2861 0.2246 0.0385  0.01
F: 0.7868 0.3286 0.9443  0.00
F: 0.7089 0.2808 0.3377  0.01
F: 0.0787 0.4614 0.9124  -0.02
F: 0.4099 0.4712 0.7553  -0.04
F: 0.9099 0.5288 0.2447  -0.04
F: 0.5787 0.5386 0.0876  -0.02
F: 0.2089 0.7192 0.6623  0.01
F: 0.2868 0.6714 0.0557  0.00
F: 0.7861 0.7754 0.9615  0.01
F: 0.4475 0.8092 0.3875  0.01
F: 0.9509 0.7368 0.6139  0.01
F: 0.7059 0.7789 0.3447  0.01
F: 0.0706 0.9622 0.8994  -0.02
F: 0.1154 0.9701 0.3686  -0.03

Computed properties:
The calculation puts the density of states at the Fermi level at 0.00 states/eV per cell. As for the space-group type: P2_1. The value obtained for the volume is 14.48 A^3/atom. The energy relative to the lowest polymorph listed for this composition is 10 meV per atom.


VASP calculation (PBE with a Hubbard U) on crystalline LiV2F7 at its relaxed geometry.

Cell lengths 5.2072, 5.5941, 10.2673 Å; angles 77.30, 90.00, 90.00 degrees
Last column: magnetic moment on the atom in μB.
Fractional coordinates of all 20 atoms:
Li: 0.9814 0.5000 0.2500  0.00
Li: 0.0186 0.5000 0.7500  0.00
V: 0.2507 0.9264 0.4292  1.91
V: 0.7493 0.9264 0.9292  1.91
V: 0.2507 0.0736 0.0708  1.91
V: 0.7493 0.0736 0.5708  1.91
F: 0.4195 0.0000 0.2500  0.01
F: 0.5805 0.0000 0.7500  0.01
F: 0.9531 0.8459 0.1091  0.00
F: 0.0469 0.8459 0.6091  0.00
F: 0.4429 0.7807 0.0254  0.00
F: 0.5571 0.7807 0.5254  0.00
F: 0.0922 0.6606 0.3784  0.00
F: 0.9078 0.6606 0.8784  0.00
F: 0.0922 0.3394 0.1216  0.00
F: 0.9078 0.3394 0.6216  0.00
F: 0.4429 0.2193 0.4746  0.00
F: 0.5571 0.2193 0.9746  0.00
F: 0.9531 0.1541 0.3909  0.00
F: 0.0469 0.1541 0.8909  0.00

Computed properties:
The calculation puts the density of states at the Fermi level at 0.00 states/eV per cell. As for the space-group type: P2/c. The value obtained for the volume is 14.59 A^3/atom. The energy relative to the lowest polymorph listed for this composition is 63 meV per atom.


VASP calculation (PBE with a Hubbard U) on crystalline LiVF3 at its relaxed geometry.

Cell lengths 6.1524, 6.1524, 6.1524 Å; angles 90.00, 90.00, 90.00 degrees
Last column: magnetic moment on the atom in μB.
Fractional coordinates of all 20 atoms:
Li: 0.8784 0.8784 0.8784  0.00
Li: 0.1216 0.3784 0.6216  0.00
Li: 0.6216 0.1216 0.3784  0.00
Li: 0.3784 0.6216 0.1216  0.00
V: 0.1635 0.1635 0.1635  2.76
V: 0.3365 0.8365 0.6635  2.76
V: 0.6635 0.3365 0.8365  2.76
V: 0.8365 0.6635 0.3365  2.76
F: 0.0093 0.7266 0.6282  0.01
F: 0.2734 0.1282 0.4907  0.01
F: 0.1282 0.4907 0.2734  0.01
F: 0.3718 0.5093 0.7734  0.01
F: 0.2266 0.8718 0.9907  0.01
F: 0.4907 0.2734 0.1282  0.01
F: 0.5093 0.7734 0.3718  0.01
F: 0.7734 0.3718 0.5093  0.01
F: 0.6282 0.0093 0.7266  0.01
F: 0.8718 0.9907 0.2266  0.01
F: 0.7266 0.6282 0.0093  0.01
F: 0.9907 0.2266 0.8718  0.01

Computed properties:
The calculation puts the density of states at the Fermi level at 0.00 states/eV per cell. As for the space-group type: P2_13. The value obtained for the volume is 11.64 A^3/atom. The energy relative to the lowest polymorph listed for this composition is 18 meV per atom.


VASP calculation (PBE with a Hubbard U) on crystalline LiVF5 at its relaxed geometry.

Cell lengths 5.1386, 6.4109, 11.4502 Å; angles 90.00, 90.00, 90.00 degrees
Last column: magnetic moment on the atom in μB.
Fractional coordinates of all 28 atoms:
Li: 0.0916 0.5889 0.7106  0.00
Li: 0.5916 0.9111 0.2894  0.00
Li: 0.4084 0.4111 0.2106  0.00
Li: 0.9084 0.0889 0.7894  0.00
V: 0.3420 0.0974 0.5799  0.99
V: 0.8420 0.4026 0.4201  0.99
V: 0.1580 0.9026 0.0799  0.99
V: 0.6580 0.5974 0.9201  0.99
F: 0.6303 0.0698 0.6716  0.00
F: 0.1840 0.8726 0.6541  0.01
F: 0.1804 0.2676 0.6896  -0.01
F: 0.5095 0.3454 0.5115  0.00
F: 0.4331 0.9487 0.4524  -0.03
F: 0.9331 0.5513 0.5476  -0.03
F: 0.0095 0.1546 0.4885  0.00
F: 0.6804 0.2324 0.3104  -0.01
F: 0.6840 0.6274 0.3459  0.01
F: 0.1303 0.4302 0.3284  0.00
F: 0.8697 0.9302 0.1716  0.00
F: 0.3160 0.1274 0.1541  0.01
F: 0.3196 0.7324 0.1896  -0.01
F: 0.9905 0.6546 0.0115  0.00
F: 0.0669 0.0513 0.9524  -0.03
F: 0.5669 0.4487 0.0476  -0.03
F: 0.4905 0.8454 0.9885  0.00
F: 0.8196 0.7676 0.8104  -0.01
F: 0.8160 0.3726 0.8459  0.01
F: 0.3697 0.5698 0.8284  0.00

Computed properties:
The calculation puts the density of states at the Fermi level at 0.00 states/eV per cell. As for the space-group type: P2_12_12_1. The value obtained for the volume is 13.47 A^3/atom. The energy relative to the lowest polymorph listed for this composition is 15 meV per atom.